The following is a PBE+U calculation of crystalline PaMn2Pb3O9 at its relaxed geometry, from Alexandria.

Unit cell a=5.751 b=5.751 c=7.272 alpha=90.00 beta=90.00 gamma=120.00
Each line ends with the local moment (μB).
Fractional coordinates of all 15 atoms:
Pa: 0.000 0.000 0.500  0.00
Mn: 0.333 0.667 0.166  3.69
Mn: 0.667 0.333 0.834  3.69
Pb: 0.333 0.667 0.734  0.01
Pb: 0.000 0.000 0.000  0.01
Pb: 0.667 0.333 0.266  0.01
O: 0.830 0.170 0.685  -0.06
O: 0.830 0.660 0.685  -0.06
O: 0.340 0.170 0.685  -0.06
O: 0.660 0.830 0.315  -0.06
O: 0.170 0.340 0.315  -0.06
O: 0.170 0.830 0.315  -0.06
O: 0.500 0.000 0.000  -0.09
O: 0.000 0.500 0.000  -0.09
O: 0.500 0.500 0.000  -0.09

**VASP energy**: -0.5239 Ry/atom